Entry 1:
DFT (PBE) results for an optimized crystal structure of TbTiP2.

```
TbTiP2
1.0
1.849 1.068 6.450
-1.849 1.068 6.450
0.000 -2.135 6.450
Tb Ti P
1 1 2
Direct
0.000 0.000 0.000
0.825 0.825 0.825
0.234 0.234 0.234
0.425 0.425 0.425
```

Computed properties:
Fermi-level density of states	2.55	states/eV/cell
total magnetization	0.00	μB per formula unit
VASP energy	-7.040	eV/atom
space group	No. 160
E above lowest polymorph	0.100	eV per atom

Entry 2:
DFT (PBE) results for an optimized crystal structure of TbTiP2.

```
TbTiP2
1.0
1.878 1.084 6.179
-1.878 1.084 6.179
0.000 -2.168 6.179
Tb Ti P
1 1 2
Direct
0.000 0.000 0.000
0.500 0.500 0.500
0.239 0.239 0.239
0.761 0.761 0.761
```

Computed properties:
Fermi-level density of states	2.18	states/eV/cell
total magnetization	0.00	μB per formula unit
VASP energy	-7.140	eV/atom
space group	No. 166
E above lowest polymorph	0.000	eV per atom

Entry 3:
DFT (PBE) results for an optimized crystal structure of Tb2Tl2P.

```
Tb2Tl2P
1.0
3.396 -1.967 0.000
3.396 1.967 0.000
-2.244 0.000 10.218
Tb Tl P
2 2 1
Direct
0.116 0.116 0.348
0.884 0.884 0.652
0.298 0.298 0.892
0.702 0.702 0.108
0.500 0.500 0.500
```

Computed properties:
Fermi-level density of states	1.69	states/eV/cell
total magnetization	0.00	μB per formula unit
VASP energy	-4.603	eV/atom
space group	No. 12